The following is a DFT calculation (GGA-PBE) of an optimized crystal structure of UCoNi.

abc: 4.2228 4.2228 4.2228
angles: 60.00 60.00 60.00
Fractional positions:
Co (0.2500, 0.2500, 0.2500)
Ni (0.7500, 0.7500, 0.7500)
U (0.0000, 0.0000, 0.0000)

Results
- DFT total energy: -7.47 eV per atom
- Energy above the most stable polymorph in this dataset: 0.298 eV per atom
- Energy of formation from the pure elements: 0.519 eV per atom
- Crystal system: cubic
- Calculated density: 11091 kg/m³
- Calculated volume: 17.749 Å³ per atom
- M_tot: 1.014 μB/cell